(1)
{"formula": "ReBMo3", "functional": "GGA-PBE", "state": "optimized geometry", "cell": [[-3.476, -0.497, -2.247], [2.048, -2.526, -2.609], [-1.050, -3.279, 2.350]], "species": ["B", "Mo", "Mo", "Mo", "Re"], "fractional_positions": [[0.000, 0.000, 0.000], [0.500, 0.000, 0.000], [0.000, 0.500, 0.000], [0.000, 0.000, 0.500], [0.500, 0.500, 0.500]], "total_energy_ev_per_atom": -10.049, "dos_at_fermi_per_ev_fu": 4.2}

(2)
{"formula": "Re3BMo", "functional": "GGA-PBE", "state": "optimized geometry", "cell": [[4.712, 0.000, 0.000], [0.000, 4.712, 0.000], [0.000, 0.000, 4.712]], "species": ["B", "Re", "Re", "Re", "Mo"], "fractional_positions": [[0.500, 0.500, 0.500], [0.000, 0.000, 0.500], [0.500, 0.000, 0.000], [0.000, 0.500, 0.000], [0.000, 0.000, 0.000]], "total_energy_ev_per_atom": -7.818, "dos_at_fermi_per_ev_fu": 5.1}

(3)
{"formula": "Re3B2Mo2", "functional": "GGA-PBE", "state": "optimized geometry", "cell": [[3.004, 0.000, 0.000], [-1.502, 4.660, -0.207], [0.000, -2.391, 6.390]], "species": ["Re", "Re", "Re", "Mo", "Mo", "B", "B"], "fractional_positions": [[0.618, 0.236, 0.439], [0.500, 0.000, 0.000], [0.382, 0.764, 0.561], [0.160, 0.320, 0.804], [0.840, 0.680, 0.196], [0.838, 0.677, 0.780], [0.162, 0.323, 0.220]], "total_energy_ev_per_atom": -10.609, "dos_at_fermi_per_ev_fu": 3.0}

(4)
{"formula": "Re5B2Mo4", "functional": "GGA-PBE", "state": "optimized geometry", "cell": [[-0.460, 2.815, 0.898], [-4.580, -2.080, 4.173], [6.026, -0.605, 4.987]], "species": ["Re", "Re", "Re", "Re", "Re", "B", "B", "Mo", "Mo", "Mo", "Mo"], "fractional_positions": [[0.000, 0.458, 0.662], [0.000, 0.843, 0.864], [0.000, 0.157, 0.136], [0.000, 0.542, 0.338], [0.000, 0.500, 0.000], [0.000, 0.067, 0.615], [0.000, 0.933, 0.385], [0.500, 0.796, 0.567], [0.500, 0.184, 0.828], [0.500, 0.816, 0.172], [0.500, 0.204, 0.433]], "total_energy_ev_per_atom": -10.828, "dos_at_fermi_per_ev_fu": 7.6}

(5)
{"formula": "Re4BMo", "functional": "GGA-PBE", "state": "optimized geometry", "cell": [[4.847, 0.074, -1.301], [-0.646, 5.016, -1.988], [-0.778, 0.839, 6.711]], "species": ["Mo", "Mo", "Re", "Re", "Re", "Re", "Re", "Re", "Re", "Re", "B", "B"], "fractional_positions": [[0.781, 0.656, 0.399], [0.219, 0.344, 0.601], [0.017, 0.951, 0.217], [0.630, 0.153, 0.414], [0.983, 0.049, 0.783], [0.406, 0.733, 0.997], [0.370, 0.847, 0.586], [0.178, 0.470, 0.205], [0.822, 0.530, 0.795], [0.594, 0.267, 0.003], [0.301, 0.105, 0.104], [0.699, 0.895, 0.896]], "total_energy_ev_per_atom": -11.192, "dos_at_fermi_per_ev_fu": 3.9}

(6)
{"formula": "Re3BMo", "functional": "GGA-PBE", "state": "optimized geometry", "cell": [[-0.409, -3.936, -1.135], [2.348, -1.160, 3.176], [-3.356, -0.332, 2.361]], "species": ["Re", "Re", "Re", "Mo", "B"], "fractional_positions": [[0.000, 0.000, 0.500], [0.000, 0.500, 0.000], [0.500, 0.000, 0.000], [0.500, 0.500, 0.500], [0.000, 0.000, 0.000]], "total_energy_ev_per_atom": -10.828, "dos_at_fermi_per_ev_fu": 3.3}

(7)
{"formula": "ReBMo3", "functional": "GGA-PBE", "state": "optimized geometry", "cell": [[4.718, 0.000, 0.000], [0.000, 4.718, 0.000], [0.000, 0.000, 4.718]], "species": ["Mo", "Mo", "Mo", "B", "Re"], "fractional_positions": [[0.000, 0.000, 0.500], [0.000, 0.500, 0.000], [0.500, 0.000, 0.000], [0.500, 0.500, 0.500], [0.000, 0.000, 0.000]], "total_energy_ev_per_atom": -7.808, "dos_at_fermi_per_ev_fu": 6.3}

(8)
{"formula": "ReB2Mo4", "functional": "GGA-PBE", "state": "optimized geometry", "cell": [[-0.273, 2.984, 2.989], [-3.769, 1.016, 1.638], [-0.593, -3.079, 6.017]], "species": ["Mo", "Mo", "Mo", "Mo", "B", "B", "Re"], "fractional_positions": [[0.224, 0.224, 0.328], [0.776, 0.776, 0.672], [0.613, 0.613, 0.160], [0.387, 0.387, 0.840], [0.889, 0.889, 0.334], [0.111, 0.111, 0.666], [0.000, 0.000, 0.000]], "total_energy_ev_per_atom": -9.560, "dos_at_fermi_per_ev_fu": 4.8}

(9)
{"formula": "ReBMo2", "functional": "GGA-PBE", "state": "optimized geometry", "cell": [[2.990, 0.000, 0.000], [0.000, 5.570, 0.258], [0.000, -1.607, 6.350]], "species": ["Mo", "Mo", "Mo", "Mo", "Re", "Re", "B", "B"], "fractional_positions": [[0.750, 0.247, 0.463], [0.250, 0.753, 0.537], [0.750, 0.605, 0.872], [0.250, 0.395, 0.128], [0.250, 0.926, 0.157], [0.750, 0.074, 0.843], [0.750, 0.690, 0.273], [0.250, 0.310, 0.727]], "total_energy_ev_per_atom": -10.295, "dos_at_fermi_per_ev_fu": 2.6}

(10)
{"formula": "Re2BMo", "functional": "GGA-PBE", "state": "optimized geometry", "cell": [[-1.233, -3.358, 1.184], [3.029, -0.331, 2.216], [-3.277, 1.896, 7.966]], "species": ["B", "B", "Mo", "Mo", "Re", "Re", "Re", "Re"], "fractional_positions": [[0.250, 0.750, 0.500], [0.500, 0.500, 0.000], [0.750, 0.250, 0.500], [0.000, 0.000, 0.000], [0.571, 0.125, 0.250], [0.375, 0.429, 0.750], [0.875, 0.821, 0.750], [0.179, 0.625, 0.250]], "total_energy_ev_per_atom": -9.816, "dos_at_fermi_per_ev_fu": 2.5}

(11)
{"formula": "Re2BMo", "functional": "GGA-PBE", "state": "optimized geometry", "cell": [[-1.921, -2.309, -0.022], [3.718, -1.109, -2.989], [3.596, -3.046, 5.603]], "species": ["Re", "Re", "Re", "Re", "B", "B", "Mo", "Mo"], "fractional_positions": [[0.362, 0.724, 0.557], [0.362, 0.724, 0.943], [0.638, 0.276, 0.057], [0.638, 0.276, 0.443], [0.236, 0.472, 0.250], [0.764, 0.528, 0.750], [0.071, 0.143, 0.750], [0.929, 0.857, 0.250]], "total_energy_ev_per_atom": -10.856, "dos_at_fermi_per_ev_fu": 2.0}

(12)
{"formula": "TaRe2BMo", "functional": "GGA-PBE", "state": "optimized geometry", "cell": [[4.785, 0.000, 0.000], [0.000, 4.046, 0.000], [0.000, 0.000, 4.785]], "species": ["Ta", "B", "Mo", "Re", "Re"], "fractional_positions": [[0.000, 0.000, 0.000], [0.000, 0.500, 0.000], [0.500, 0.500, 0.500], [0.000, 0.000, 0.500], [0.500, 0.000, 0.000]], "total_energy_ev_per_atom": -8.544, "dos_at_fermi_per_ev_fu": 6.2}